{
  "formula": "La2NiSe",
  "functional": "PBE",
  "state": "optimized geometry",
  "dft_energy_ev_per_atom": -5.5954,
  "lattice": [[-6.5597, 3.4796, 1.3068], [-3.4250, -6.6884, 0.6163], [-4.2218, -1.6351, 4.9113]],
  "species": ["Ni", "Ni", "Se", "Se", "La", "La", "La", "La"],
  "fractional_positions": [[0.5000, 0.5000, 0.0000], [0.2500, 0.7500, 0.5000], [0.0000, 0.0000, 0.0000], [0.7500, 0.2500, 0.5000], [0.5933, 0.1250, 0.2500], [0.1567, 0.6250, 0.2500], [0.3750, 0.4067, 0.7500], [0.8750, 0.8433, 0.7500]]
}

***

{
  "formula": "AlTlH8Rh2",
  "functional": "PBE",
  "state": "optimized geometry",
  "dft_energy_ev_per_atom": -3.9413,
  "lattice": [[-0.5301, 1.1249, -4.4764], [-1.5341, -3.1733, -3.0267], [-7.0855, 1.2290, -1.2629]],
  "species": ["Al", "Tl", "H", "H", "H", "H", "H", "H", "H", "H", "Rh", "Rh"],
  "fractional_positions": [[0.0000, 0.0000, 0.0000], [0.5000, 0.5000, 0.5000], [0.2217, 0.2217, 0.3349], [0.6210, 0.2683, 0.1704], [0.7783, 0.7783, 0.6651], [0.9403, 0.6210, 0.1704], [0.0597, 0.3790, 0.8296], [0.2683, 0.9403, 0.1704], [0.7317, 0.0597, 0.8296], [0.3790, 0.7317, 0.8296], [0.2996, 0.2996, 0.1012], [0.7004, 0.7004, 0.8988]]
}

***

{
  "formula": "TbB2RuRh",
  "functional": "PBE",
  "state": "optimized geometry",
  "delta_e_f_mev_per_atom": -601,
  "lattice": [[-0.4873, -3.7972, 0.8096], [3.6197, -0.1492, 1.4787], [-3.2576, 3.0972, 3.1095]],
  "species": ["Tb", "B", "B", "Ru", "Rh"],
  "fractional_positions": [[0.0000, 0.0000, 0.0000], [0.6606, 0.6606, 0.3212], [0.3394, 0.3394, 0.6788], [0.2500, 0.7500, 0.5000], [0.7500, 0.2500, 0.5000]]
}

***

| no. | DOS(E_F) (states/eV per atom) |
| --- | --- |
| 1 | 0.871 |
| 2 | 0.082 |
| 3 | 0.139 |